No. 1
Computed, not measured: an optimized crystal structure of UTiMo2 at the PBE-GGA level of DFT.

abc: 4.659 4.659 3.231
angles: 90.00 90.00 90.00
Fractional coordinates of all 4 atoms:
U (0.000, 0.000, 0.000)
Ti (0.500, 0.500, 0.000)
Mo (0.000, 0.500, 0.500)
Mo (0.500, 0.000, 0.500)

Values from the calculation:
For the total energy, the calculation gives -10.149 eV/atom. Its energy above the lowest structure with this stoichiometry is 16 kJ/mol of formula units. The magnetic moment is 0.00 μB/f.u.

No. 2
Computed, not measured: an optimized crystal structure of UTiMo2 at the PBE-GGA level of DFT.

abc: 6.515 6.515 6.515
angles: 90.00 90.00 90.00
Fractional coordinates of all 16 atoms:
U (0.000, 0.000, 0.000)
U (0.000, 0.500, 0.500)
U (0.500, 0.000, 0.500)
U (0.500, 0.500, 0.000)
Ti (0.000, 0.000, 0.500)
Ti (0.000, 0.500, 0.000)
Ti (0.500, 0.000, 0.000)
Ti (0.500, 0.500, 0.500)
Mo (0.250, 0.250, 0.250)
Mo (0.250, 0.250, 0.750)
Mo (0.250, 0.750, 0.250)
Mo (0.250, 0.750, 0.750)
Mo (0.750, 0.250, 0.250)
Mo (0.750, 0.250, 0.750)
Mo (0.750, 0.750, 0.250)
Mo (0.750, 0.750, 0.750)

Values from the calculation:
For the total energy, the calculation gives -10.190 eV/atom. Its energy above the lowest structure with this stoichiometry is 0 kJ/mol of formula units. The magnetic moment is 0.02 μB/f.u.

No. 3
Computed, not measured: an optimized crystal structure of UTi2Mo at the PBE-GGA level of DFT.

abc: 2.827 2.827 31.626
angles: 90.00 90.00 120.00
Fractional coordinates of all 12 atoms:
U (0.000, 0.000, 0.000)
U (0.333, 0.667, 0.667)
U (0.667, 0.333, 0.333)
Ti (0.000, 0.000, 0.419)
Ti (0.000, 0.000, 0.581)
Ti (0.333, 0.667, 0.086)
Ti (0.333, 0.667, 0.248)
Ti (0.667, 0.333, 0.752)
Ti (0.667, 0.333, 0.914)
Mo (0.000, 0.000, 0.500)
Mo (0.333, 0.667, 0.167)
Mo (0.667, 0.333, 0.833)

Values from the calculation:
For the total energy, the calculation gives -9.061 eV/atom. Its energy above the lowest structure with this stoichiometry is 111 kJ/mol of formula units. The magnetic moment is 0.00 μB/f.u.

No. 4
Computed, not measured: an optimized crystal structure of UTiVMo at the PBE-GGA level of DFT.

abc: 6.435 6.435 6.435
angles: 90.00 90.00 90.00
Fractional coordinates of all 16 atoms:
U (0.000, 0.000, 0.000)
U (0.000, 0.500, 0.500)
U (0.500, 0.000, 0.500)
U (0.500, 0.500, 0.000)
Ti (0.000, 0.000, 0.500)
Ti (0.000, 0.500, 0.000)
Ti (0.500, 0.000, 0.000)
Ti (0.500, 0.500, 0.500)
V (0.250, 0.250, 0.750)
V (0.250, 0.750, 0.250)
V (0.750, 0.250, 0.250)
V (0.750, 0.750, 0.750)
Mo (0.250, 0.250, 0.250)
Mo (0.250, 0.750, 0.750)
Mo (0.750, 0.250, 0.750)
Mo (0.750, 0.750, 0.250)

Values from the calculation:
For the total energy, the calculation gives -9.718 eV/atom. The magnetic moment is 0.00 μB/f.u.

No. 5
Computed, not measured: an optimized crystal structure of TiV4Mo at the PBE-GGA level of DFT.

abc: 4.981 4.981 4.981
angles: 60.00 60.00 60.00
Fractional coordinates of all 6 atoms:
Ti (0.000, 0.000, 0.000)
V (0.124, 0.625, 0.625)
V (0.625, 0.124, 0.625)
V (0.625, 0.625, 0.124)
V (0.625, 0.625, 0.625)
Mo (0.250, 0.250, 0.250)

Values from the calculation:
For the total energy, the calculation gives -9.212 eV/atom. Its energy above the lowest structure with this stoichiometry is 0 kJ/mol of formula units. The magnetic moment is 0.00 μB/f.u.

No. 6
Computed, not measured: an optimized crystal structure of Ti2V2Mo3 at the PBE-GGA level of DFT.

abc: 3.134 5.221 6.959
angles: 98.06 90.03 107.38
Fractional coordinates of all 7 atoms:
Ti (0.068, 0.136, 0.206)
Ti (0.932, 0.864, 0.794)
V (0.341, 0.682, 0.078)
V (0.659, 0.318, 0.922)
Mo (0.212, 0.424, 0.643)
Mo (0.500, 0.000, 0.500)
Mo (0.788, 0.576, 0.357)

Values from the calculation:
For the total energy, the calculation gives -9.584 eV/atom. Its energy above the lowest structure with this stoichiometry is 0 kJ/mol of formula units. The magnetic moment is 0.00 μB/f.u.

No. 7
Computed, not measured: an optimized crystal structure of Ti3VMo4 at the PBE-GGA level of DFT.

abc: 3.137 4.637 9.030
angles: 104.82 99.87 90.01
Fractional coordinates of all 8 atoms:
Ti (0.000, 0.000, 0.000)
Ti (0.249, 0.249, 0.499)
Ti (0.751, 0.751, 0.501)
V (0.500, 0.500, 0.000)
Mo (0.121, 0.620, 0.241)
Mo (0.376, 0.876, 0.751)
Mo (0.624, 0.124, 0.249)
Mo (0.879, 0.380, 0.759)

Values from the calculation:
For the total energy, the calculation gives -9.608 eV/atom. The magnetic moment is 0.00 μB/f.u.

No. 8
Computed, not measured: an optimized crystal structure of TiV6Mo2 at the PBE-GGA level of DFT.

abc: 5.083 5.083 9.214
angles: 108.08 108.08 35.03
Fractional coordinates of all 9 atoms:
Ti (0.000, 0.000, 0.000)
V (0.005, 0.005, 0.336)
V (0.326, 0.326, 0.117)
V (0.336, 0.336, 0.443)
V (0.664, 0.664, 0.557)
V (0.674, 0.674, 0.883)
V (0.995, 0.995, 0.664)
Mo (0.329, 0.329, 0.770)
Mo (0.671, 0.671, 0.230)

Values from the calculation:
For the total energy, the calculation gives -9.416 eV/atom. Its energy above the lowest structure with this stoichiometry is 0 kJ/mol of formula units. The magnetic moment is 0.00 μB/f.u.